No. 1
Li4Nd3ZrS8 | GGA-PBE | relaxed

Properties
- E_form (uncorrected): -1.68 eV/atom

Structure (CIF):
```
data_Li4Nd3ZrS8
_cell_length_a 7.8934
_cell_length_b 7.8934
_cell_length_c 18.6555
_cell_angle_alpha 90.00
_cell_angle_beta 90.00
_cell_angle_gamma 120.00
_space_group_name_H-M_alt 'R -3 m'
_space_group_IT_number 166
_space_group_name_Hall '-R 3 2"'
loop_
_atom_site_label
_atom_site_type_symbol
_atom_site_fract_x
_atom_site_fract_y
_atom_site_fract_z
Li1 Li 0.0000 0.0000 0.0000
Li2 Li 0.0000 0.5000 0.0000
Nd1 Nd 0.0000 0.5000 0.5000
Zr1 Zr 0.0000 0.0000 0.5000
S1 S 0.0000 0.0000 0.2548
S2 S 0.0210 0.5105 0.2510
```


No. 2
TbSc2Ga4 | GGA-PBE | relaxed

Properties
- Energy of formation from the pure elements: -4.3 eV per formula unit

Structure (CIF):
```
data_TbSc2Ga4
_cell_length_a 3.986
_cell_length_b 4.082
_cell_length_c 17.740
_cell_angle_alpha 90.00
_cell_angle_beta 90.00
_cell_angle_gamma 90.00
_space_group_name_H-M_alt 'I m m m'
_space_group_IT_number 71
_space_group_name_Hall '-I 2 2'
loop_
_atom_site_label
_atom_site_type_symbol
_atom_site_fract_x
_atom_site_fract_y
_atom_site_fract_z
Tb1 Tb 0.000 0.000 0.000
Sc1 Sc 0.000 0.500 0.188
Ga1 Ga 0.000 0.000 0.430
Ga2 Ga 0.000 0.500 0.347
```


No. 3
Ac2PrAl | GGA-PBE | relaxed

Properties
- Excess energy over the best structure of this formula in the dataset: 0.540 eV/f.u.
- Energy of formation from the pure elements: 0.2 eV per formula unit

Structure (CIF):
```
data_Ac2PrAl
_cell_length_a 3.9172
_cell_length_b 3.9172
_cell_length_c 33.8388
_cell_angle_alpha 90.00
_cell_angle_beta 90.00
_cell_angle_gamma 120.00
_space_group_name_H-M_alt 'R -3 m'
_space_group_IT_number 166
_space_group_name_Hall '-R 3 2"'
loop_
_atom_site_label
_atom_site_type_symbol
_atom_site_fract_x
_atom_site_fract_y
_atom_site_fract_z
Ac1 Ac 0.0000 0.0000 0.2393
Pr1 Pr 0.0000 0.0000 0.0000
Al1 Al 0.0000 0.0000 0.5000
```


Number 1: final energy -5.6543 eV/atom. Number 2: final energy -4.8149 eV/atom. Number 3: final energy -4.1359 eV/atom.